Record 1
A plane-wave DFT calculation with GGA+U was carried out for CePrMo2O8 after structural relaxation.

Unit cell a=6.8563 b=6.8563 c=6.8563 alpha=133.96 beta=133.96 gamma=67.15
Sites, in units of the cell vectors:
Ce (0.0000, 0.0000, 0.0000)
Pr (0.7500, 0.2500, 0.5000)
Mo (0.2500, 0.7500, 0.5000)
Mo (0.5000, 0.5000, 0.0000)
O (0.0915, 0.6624, 0.0824)
O (0.1571, 0.2304, 0.5564)
O (0.3376, 0.4201, 0.4291)
O (0.3992, 0.8429, 0.0733)
O (0.5799, 0.0091, 0.9176)
O (0.6740, 0.6008, 0.4436)
O (0.7696, 0.3260, 0.9267)
O (0.9909, 0.9085, 0.5709)

Output
Final energy: -7.815 eV per atom


Record 2
A plane-wave DFT calculation with GGA+U was carried out for Tl2V3ZnF12 after structural relaxation.

Unit cell a=7.4753 b=7.4753 c=7.4753 alpha=60.74 beta=60.74 gamma=60.74
Sites, in units of the cell vectors:
Tl (0.1551, 0.1551, 0.1551)
Tl (0.8449, 0.8449, 0.8449)
V (0.0000, 0.5000, 0.5000)
V (0.5000, 0.0000, 0.5000)
V (0.5000, 0.5000, 0.0000)
Zn (0.5000, 0.5000, 0.5000)
F (0.1724, 0.5745, 0.5745)
F (0.1838, 0.1838, 0.5655)
F (0.1838, 0.5655, 0.1838)
F (0.4255, 0.4255, 0.8276)
F (0.4255, 0.8276, 0.4255)
F (0.4345, 0.8162, 0.8162)
F (0.5655, 0.1838, 0.1838)
F (0.5745, 0.1724, 0.5745)
F (0.5745, 0.5745, 0.1724)
F (0.8162, 0.4345, 0.8162)
F (0.8162, 0.8162, 0.4345)
F (0.8276, 0.4255, 0.4255)

Output
Final energy: -5.356 eV per atom